VASP calculation (PBE-GGA) on a geometry-optimized Be2FeCu2 structure.

```
data_Be2FeCu2
_chemical_formula_sum 'Be4 Fe2 Cu4'
_symmetry_space_group_name_H-M 'P 4/m b m'
_symmetry_Int_Tables_number 127
_symmetry_space_group_name_Hall '-P 4 2ab'
_cell_length_a 6.285
_cell_length_b 6.285
_cell_length_c 2.503
_cell_angle_alpha 90.00
_cell_angle_beta 90.00
_cell_angle_gamma 90.00
loop_
_atom_site_label
_atom_site_type_symbol
_atom_site_fract_x
_atom_site_fract_y
_atom_site_fract_z
Be1 Be 0.135 0.365 0.000
Fe1 Fe 0.000 0.000 0.000
Cu1 Cu 0.163 0.663 0.500
```

Summary:
spin magnetization = 0.000 μB/atom
energy relative to the elements = 0.090 eV per atom